Record 1
Here is crystalline AcPdO at its relaxed geometry from the Alexandria database. Energies are from PBE-GGA.

a b c (Å): 9.819 9.819 3.721
angles (deg): 90.00 90.00 159.08
Fractional coordinates of all 6 atoms:
Ac 0.168 0.832 0.750
Ac 0.832 0.168 0.250
Pd 0.452 0.548 0.250
Pd 0.548 0.452 0.750
O 0.299 0.701 0.750
O 0.701 0.299 0.250

Calculated values
- SG: Cmcm (63)
- Formation energy from raw total energies: -1.680 eV/atom

Record 2
Here is crystalline DyTl2B2O6 at its relaxed geometry from the Alexandria database. Energies are from PBE-GGA.

a b c (Å): 5.489 5.489 6.831
angles (deg): 113.85 113.85 59.99
Fractional coordinates of all 11 atoms:
Dy 0.000 0.000 0.000
Tl 0.214 0.214 0.644
Tl 0.786 0.786 0.356
B 0.411 0.411 0.232
B 0.589 0.589 0.768
O 0.265 0.265 0.229
O 0.265 0.703 0.231
O 0.297 0.735 0.769
O 0.703 0.265 0.231
O 0.735 0.297 0.769
O 0.735 0.735 0.771

Calculated values
- SG: C2/m (12)
- Formation energy from raw total energies: -2.113 eV/atom

Q: Among the records above, which one has the highest formation energy from raw total energies?
A: AcPdO